[1]
First-principles (SCAN) data for a crystal of Li2BiBSb relaxed with PBEsol, as listed in Alexandria.

Properties
formation energy without anion corrections	0.85	eV per atom
magnetization	0.11	μB/atom
symmetry	P4/mmm, No. 123

```
Li2BiBSb
1.0
5.2095 0.0000 0.0000
0.0000 5.2095 0.0000
0.0000 0.0000 4.4992
Li Bi B Sb
2 1 1 1
Cartesian
0.0000 2.6048 0.0000 Li
2.6048 0.0000 0.0000 Li
0.0000 0.0000 0.0000 Bi
0.0000 0.0000 2.2496 B
2.6048 2.6048 2.2496 Sb
```

---

[2]
First-principles (SCAN) data for a crystal of ZnPtRh2 relaxed with PBEsol, as listed in Alexandria.

Properties
VASP energy	-38.035	eV per atom
magnetization	0.00	μB/atom
symmetry	Pmm2, No. 25

```
ZnPtRh2
1.0
2.7200 0.0000 0.0000
0.0000 3.7717 0.0000
0.0000 0.0000 5.3707
Zn Pt Rh
1 1 2
Cartesian
0.0000 0.0000 0.0000 Zn
1.3600 1.8859 1.3018 Pt
0.0000 0.0000 2.7525 Rh
1.3600 1.8859 3.9825 Rh
```

---

[3]
First-principles (SCAN) data for a crystal of Ca2In2Bi relaxed with PBEsol, as listed in Alexandria.

Properties
VASP energy	-33.074	eV per atom
magnetization	0.00	μB/atom
symmetry	I4/mmm, No. 139

```
Ca2In2Bi
1.0
-2.4624 2.4624 6.4840
2.4624 -2.4624 6.4840
2.4624 2.4624 -6.4840
Ca In Bi
2 2 1
Cartesian
2.4624 0.0000 3.2420 Ca
0.0000 2.4624 3.2420 Ca
0.0000 0.0000 1.3122 In
0.0000 0.0000 11.6559 In
0.0000 0.0000 6.4840 Bi
```

---

[4]
First-principles (SCAN) data for a crystal of MgIr2Rh relaxed with PBEsol, as listed in Alexandria.

Properties
VASP energy	-45.293	eV per atom
magnetization	0.00	μB/atom
symmetry	Imm2, No. 44

```
MgIr2Rh
1.0
-1.3843 2.2660 4.7050
1.3843 -2.2660 4.7050
1.3843 2.2660 -4.7050
Mg Ir Rh
1 2 1
Cartesian
0.0000 0.0000 0.0000 Mg
0.0000 0.0000 4.7217 Ir
0.0000 2.2660 2.1958 Ir
1.3843 0.0000 2.5018 Rh
```

---

[5]
First-principles (SCAN) data for a crystal of FeCo3 relaxed with PBEsol, as listed in Alexandria.

Properties
VASP energy	-17.603	eV per atom
magnetization	2.11	μB/atom
symmetry	P2/m, No. 10

```
FeCo3
1.0
4.6060 0.0000 0.0000
0.0000 3.9174 0.0000
-0.8334 0.0000 4.7448
Fe Co
2 6
Cartesian
1.0440 0.0000 0.6065 Fe
2.7286 0.0000 4.1383 Fe
-0.1946 1.9587 1.1997 Co
0.6434 0.0000 2.9816 Co
2.3030 1.9587 0.0000 Co
1.8863 1.9587 2.3724 Co
3.1292 0.0000 1.7632 Co
3.9672 1.9587 3.5451 Co
```

---

[6]
First-principles (SCAN) data for a crystal of KLaH3 relaxed with PBEsol, as listed in Alexandria.

Properties
VASP energy	-12.693	eV per atom
magnetization	0.00	μB/atom
symmetry	Pm-3m, No. 221

```
KLaH3
1.0
4.6111 0.0000 0.0000
0.0000 4.6111 0.0000
0.0000 0.0000 4.6111
K La H
1 1 3
Cartesian
0.0000 0.0000 0.0000 K
2.3056 2.3056 2.3056 La
0.0000 2.3056 2.3056 H
2.3056 0.0000 2.3056 H
2.3056 2.3056 0.0000 H
```

---

In g/cm³, the density values for the records above are, in order, 4.83, 14.05, 5.48, 14.39, 9.02, 3.07.